This record from Alexandria via LeMat-Bulk describes crystalline LiSnAs2Os at its relaxed geometry. The functional is PBE.

Output
**Magnetic moment**: 1.6 μB per cell
**Calculated density**: 5.5 g/cm3
**Formation energy**: 1.33 eV per atom
**DOS(E_F)**: 5.6 states/eV per cell

Cell: 5.300 5.300 5.009 Å, 90.00 90.00 90.00°
Space group P4/mmm (No. 123)
One atom of each set of equivalent atoms:
1 Li 0.000 0.000 0.000 x1
2 Sn 0.500 0.500 0.500 x1
3 As 0.000 0.500 0.500 x2
4 Os 0.500 0.500 0.000 x1


This record from Alexandria via LeMat-Bulk describes crystalline Li4AsP at its relaxed geometry. The functional is PBE.

Output
**ΔE to the lowest computed polymorph**: 0 meV per atom
**Magnetic moment**: 0.0 μB per cell
**Calculated density**: 2.3 g/cm3
**Formation energy**: -0.54 eV per atom
**DOS(E_F)**: 9.0 states/eV per cell

Cell: 13.522 6.468 4.787 Å, 90.00 110.33 90.00°
Space group C2/m (No. 12)
One atom of each set of equivalent atoms:
1 Li 0.000 0.185 0.000 x4
2 Li 0.147 0.250 0.645 x8
3 Li 0.179 0.500 0.175 x4
4 As 0.182 0.000 0.182 x4
5 P 0.000 0.500 0.280 x4


This record from Alexandria via LeMat-Bulk describes crystalline LiAsP2 at its relaxed geometry. The functional is PBE.

Output
**Magnetic moment**: 0.0 μB per cell
**Calculated density**: 3.4 g/cm3
**Formation energy**: -0.01 eV per atom
**DOS(E_F)**: 1.3 states/eV per cell

Cell: 10.082 3.345 4.321 Å, 90.00 106.26 90.00°
Space group Cm (No. 8)
One atom of each set of equivalent atoms:
1 Li 0.000 0.000 0.000 x2
2 As 0.204 0.000 0.641 x2
3 P 0.001 0.500 0.494 x2
4 P 0.324 0.500 0.383 x2


This record from Alexandria via LeMat-Bulk describes crystalline Li4AsP at its relaxed geometry. The functional is PBE.

Output
**ΔE to the lowest computed polymorph**: 143 meV per atom
**Magnetic moment**: 0.0 μB per cell
**Calculated density**: 2.1 g/cm3
**Formation energy**: -0.40 eV per atom
**DOS(E_F)**: 9.3 states/eV per cell

Cell: 7.358 4.168 7.312 Å, 90.00 108.99 90.00°
Space group C2/m (No. 12)
One atom of each set of equivalent atoms:
1 Li 0.125 0.000 0.361 x4
2 Li 0.132 0.500 0.889 x4
3 As 0.000 0.500 0.500 x2
4 P 0.000 0.000 0.000 x2


This record from Alexandria via LeMat-Bulk describes crystalline Li2AsP at its relaxed geometry. The functional is PBE.

Output
**ΔE to the lowest computed polymorph**: 280 meV per atom
**Magnetic moment**: 0.0 μB per cell
**Calculated density**: 3.0 g/cm3
**Formation energy**: -0.15 eV per atom
**DOS(E_F)**: 7.1 states/eV per cell

Cell: 7.359 7.359 4.956 Å, 90.00 90.00 90.00°
Space group I-42d (No. 122)
One atom of each set of equivalent atoms:
1 Li 0.219 0.750 0.125 x8
2 As 0.000 0.000 0.500 x4
3 P 0.000 0.000 0.000 x4


This record from Alexandria via LeMat-Bulk describes crystalline LiAsP at its relaxed geometry. The functional is PBE.

Output
**ΔE to the lowest computed polymorph**: 120 meV per atom
**Magnetic moment**: 0.0 μB per cell
**Calculated density**: 3.5 g/cm3
**Formation energy**: -0.09 eV per atom
**DOS(E_F)**: 1.1 states/eV per cell

Cell: 2.541 2.541 16.402 Å, 90.00 90.00 90.00°
Space group I4mm (No. 107)
One atom of each set of equivalent atoms:
1 Li 0.000 0.000 0.000 x2
2 As 0.000 0.000 0.365 x2
3 P 0.000 0.000 0.621 x2


This record from Alexandria via LeMat-Bulk describes crystalline LiAs2P at its relaxed geometry. The functional is PBE.

Output
**Magnetic moment**: 0.0 μB per cell
**Calculated density**: 4.5 g/cm3
**Formation energy**: -0.07 eV per atom
**DOS(E_F)**: 1.0 states/eV per cell

Cell: 2.716 3.539 7.245 Å, 90.00 90.00 90.00°
Space group Pmmm (No. 47)
One atom of each set of equivalent atoms:
1 Li 0.000 0.000 0.000 x1
2 As 0.500 0.500 0.249 x2
3 P 0.500 0.000 0.500 x1


This record from Alexandria via LeMat-Bulk describes crystalline LiAsP at its relaxed geometry. The functional is PBE.

Output
**ΔE to the lowest computed polymorph**: 0 meV per atom
**Magnetic moment**: 0.0 μB per cell
**Calculated density**: 2.7 g/cm3
**Formation energy**: -0.21 eV per atom
**DOS(E_F)**: 0.0 states/eV per cell

Cell: 5.223 5.407 5.829 Å, 110.88 90.05 113.26°
Space group P-1 (No. 2)
One atom of each set of equivalent atoms:
1 Li 0.178 0.350 0.286 x2
2 As 0.277 0.805 0.134 x2
3 P 0.360 0.737 0.737 x2


This record from Alexandria via LeMat-Bulk describes crystalline LiAsP at its relaxed geometry. The functional is PBE.

Output
**ΔE to the lowest computed polymorph**: 80 meV per atom
**Magnetic moment**: 0.0 μB per cell
**Calculated density**: 3.2 g/cm3
**Formation energy**: -0.13 eV per atom
**DOS(E_F)**: 1.8 states/eV per cell

Cell: 2.673 4.170 10.429 Å, 90.00 90.00 90.00°
Space group Imm2 (No. 44)
One atom of each set of equivalent atoms:
1 Li 0.000 0.000 0.000 x2
2 As 0.000 0.000 0.358 x2
3 P 0.000 0.000 0.580 x2


This record from Alexandria via LeMat-Bulk describes crystalline Li2AsP at its relaxed geometry. The functional is PBE.

Output
**ΔE to the lowest computed polymorph**: 29 meV per atom
**Magnetic moment**: 0.0 μB per cell
**Calculated density**: 3.3 g/cm3
**Formation energy**: -0.40 eV per atom
**DOS(E_F)**: 1.1 states/eV per cell

Cell: 2.781 3.957 5.433 Å, 90.00 92.78 90.00°
Space group P2/m (No. 10)
One atom of each set of equivalent atoms:
1 Li 0.005 0.000 0.262 x2
2 As 0.500 0.500 0.000 x1
3 P 0.500 0.500 0.500 x1


This record from Alexandria via LeMat-Bulk describes crystalline LiAs2P at its relaxed geometry. The functional is PBE.

Output
**Magnetic moment**: 0.0 μB per cell
**Calculated density**: 4.5 g/cm3
**Formation energy**: 0.21 eV per atom
**DOS(E_F)**: 1.6 states/eV per cell

Cell: 2.830 4.329 5.690 Å, 90.00 90.00 90.00°
Space group Pmmm (No. 47)
One atom of each set of equivalent atoms:
1 Li 0.000 0.000 0.000 x1
2 As 0.500 0.500 0.223 x2
3 P 0.000 0.000 0.500 x1


This record from Alexandria via LeMat-Bulk describes crystalline LiAsP2 at its relaxed geometry. The functional is PBE.

Output
**Magnetic moment**: 0.0 μB per cell
**Calculated density**: 3.8 g/cm3
**Formation energy**: 0.17 eV per atom
**DOS(E_F)**: 2.1 states/eV per cell

Cell: 5.496 9.566 2.715 Å, 90.00 118.61 90.00°
Space group C2/m (No. 12)
One atom of each set of equivalent atoms:
1 Li 0.000 0.000 0.000 x2
2 As 0.000 0.500 0.000 x2
3 P 0.250 0.250 0.000 x4


This record from Alexandria via LeMat-Bulk describes crystalline LiAs2P at its relaxed geometry. The functional is PBE.

Output
**Magnetic moment**: 0.0 μB per cell
**Calculated density**: 4.5 g/cm3
**Formation energy**: 0.05 eV per atom
**DOS(E_F)**: 3.4 states/eV per cell

Cell: 3.448 4.070 9.982 Å, 90.00 90.00 90.00°
Space group Imm2 (No. 44)
One atom of each set of equivalent atoms:
1 Li 0.000 0.000 0.000 x2
2 As 0.000 0.000 0.497 x2
3 As 0.000 0.500 0.212 x2
4 P 0.000 0.500 0.807 x2


This record from Alexandria via LeMat-Bulk describes crystalline Li2AsP at its relaxed geometry. The functional is PBE.

Output
**ΔE to the lowest computed polymorph**: 377 meV per atom
**Magnetic moment**: 0.0 μB per cell
**Calculated density**: 2.8 g/cm3
**Formation energy**: -0.05 eV per atom
**DOS(E_F)**: 2.3 states/eV per cell

Cell: 2.651 2.651 10.243 Å, 90.00 90.00 90.00°
Space group P4mm (No. 99)
One atom of each set of equivalent atoms:
1 Li 0.000 0.000 0.000 x1
2 Li 0.500 0.500 0.260 x1
3 As 0.500 0.500 0.805 x1
4 P 0.000 0.000 0.436 x1


This record from Alexandria via LeMat-Bulk describes crystalline Li3AsP at its relaxed geometry. The functional is PBE.

Output
**ΔE to the lowest computed polymorph**: 602 meV per atom
**Magnetic moment**: 0.8 μB per cell
**Calculated density**: 2.1 g/cm3
**Formation energy**: 0.09 eV per atom
**DOS(E_F)**: 3.8 states/eV per cell

Cell: 4.673 4.673 4.673 Å, 90.00 90.00 90.00°
Space group Pm-3m (No. 221)
One atom of each set of equivalent atoms:
1 Li 0.000 0.000 0.500 x3
2 As 0.000 0.000 0.000 x1
3 P 0.500 0.500 0.500 x1


This record from Alexandria via LeMat-Bulk describes crystalline Li2AsP at its relaxed geometry. The functional is PBE.

Output
**ΔE to the lowest computed polymorph**: 142 meV per atom
**Magnetic moment**: 0.0 μB per cell
**Calculated density**: 3.3 g/cm3
**Formation energy**: -0.29 eV per atom
**DOS(E_F)**: 1.3 states/eV per cell

Cell: 3.227 3.227 5.825 Å, 90.00 90.00 90.00°
Space group P4/mmm (No. 123)
One atom of each set of equivalent atoms:
1 Li 0.000 0.000 0.232 x2
2 As 0.500 0.500 0.500 x1
3 P 0.500 0.500 0.000 x1


This record from Alexandria via LeMat-Bulk describes crystalline Li2AsP at its relaxed geometry. The functional is PBE.

Output
**ΔE to the lowest computed polymorph**: 27 meV per atom
**Magnetic moment**: 0.0 μB per cell
**Calculated density**: 3.3 g/cm3
**Formation energy**: -0.40 eV per atom
**DOS(E_F)**: 1.2 states/eV per cell

Cell: 5.488 7.844 2.770 Å, 90.00 90.00 90.00°
Space group Cmmm (No. 65)
One atom of each set of equivalent atoms:
1 Li 0.250 0.250 0.000 x4
2 As 0.000 0.000 0.500 x2
3 P 0.000 0.500 0.500 x2


This record from Alexandria via LeMat-Bulk describes crystalline Li2AsP at its relaxed geometry. The functional is PBE.

Output
**ΔE to the lowest computed polymorph**: 219 meV per atom
**Magnetic moment**: 0.0 μB per cell
**Calculated density**: 3.0 g/cm3
**Formation energy**: -0.21 eV per atom
**DOS(E_F)**: 1.3 states/eV per cell

Cell: 3.638 3.638 5.014 Å, 90.00 90.00 90.00°
Space group P4mm (No. 99)
One atom of each set of equivalent atoms:
1 Li 0.000 0.000 0.000 x1
2 Li 0.500 0.500 0.239 x1
3 As 0.500 0.500 0.712 x1
4 P 0.000 0.000 0.524 x1


This record from Alexandria via LeMat-Bulk describes crystalline LiAs2P at its relaxed geometry. The functional is PBE.

Output
**Magnetic moment**: 0.0 μB per cell
**Calculated density**: 4.5 g/cm3
**Formation energy**: 0.17 eV per atom
**DOS(E_F)**: 2.0 states/eV per cell

Cell: 3.609 4.916 7.745 Å, 90.00 90.00 90.00°
Space group Cmmm (No. 65)
One atom of each set of equivalent atoms:
1 Li 0.000 0.000 0.000 x2
2 As 0.000 0.500 0.260 x4
3 P 0.000 0.000 0.500 x2


This record from Alexandria via LeMat-Bulk describes crystalline LiAsP2 at its relaxed geometry. The functional is PBE.

Output
**Magnetic moment**: 0.0 μB per cell
**Calculated density**: 3.7 g/cm3
**Formation energy**: 0.15 eV per atom
**DOS(E_F)**: 4.3 states/eV per cell

Cell: 3.370 3.989 9.569 Å, 90.00 90.00 90.00°
Space group Immm (No. 71)
One atom of each set of equivalent atoms:
1 Li 0.000 0.000 0.000 x2
2 As 0.000 0.000 0.500 x2
3 P 0.000 0.500 0.206 x4